This record from the Alexandria database describes a relaxed structure of KTa2Cd. The functional is PBE.

a b c (Å): 4.462 4.462 22.135
angles (deg): 90.00 90.00 90.00
Space group I-42d (No. 122)
Asymmetric unit:
K1 0.000 0.000 0.000 (multiplicity 4)
Ta1 0.126 0.250 0.625 (multiplicity 8)
Cd1 0.000 0.000 0.500 (multiplicity 4)

Summary:
Total magnetic moment: 0.00 μB per formula unit
VASP energy: -5.013 eV per atom
Fermi-level density of states: 4.439 states/eV/f.u.
Energy of formation from the pure elements: 1417 meV/atom
ρ: 7.74 g cm⁻³

---

This record from the Alexandria database describes a relaxed structure of BaZrAl2. The functional is PBE.

a b c (Å): 3.296 4.141 7.556
angles (deg): 90.00 90.00 90.00
Space group Pmmm (No. 47)
Asymmetric unit:
Ba1 0.000 0.000 0.000 (multiplicity 1)
Zr1 0.000 0.000 0.500 (multiplicity 1)
Al1 0.500 0.500 0.320 (multiplicity 2)

Summary:
Total magnetic moment: 0.00 μB per formula unit
Energy above the most stable polymorph in this dataset: 0.0000 eV per atom
VASP energy: -4.664 eV per atom
Fermi-level density of states: 2.445 states/eV/f.u.
Energy of formation from the pure elements: -175 meV/atom
ρ: 4.55 g cm⁻³

---

This record from the Alexandria database describes a relaxed structure of CoSi2Ag. The functional is PBE.

a b c (Å): 6.094 6.094 6.094
angles (deg): 90.00 90.00 90.00
Space group F-43m (No. 216)
Asymmetric unit:
Co1 0.000 0.000 0.000 (multiplicity 4)
Si1 0.000 0.000 0.500 (multiplicity 4)
Si2 0.250 0.250 0.250 (multiplicity 4)
Ag1 0.250 0.250 0.750 (multiplicity 4)

Summary:
Total magnetic moment: 0.00 μB per formula unit
Energy above the most stable polymorph in this dataset: 0.5205 eV per atom
VASP energy: -4.723 eV per atom
Fermi-level density of states: 2.825 states/eV/f.u.
ρ: 6.54 g cm⁻³

---

Repeat the first record exactly.
This record from the Alexandria database describes a relaxed structure of KTa2Cd. The functional is PBE.

a b c (Å): 4.462 4.462 22.135
angles (deg): 90.00 90.00 90.00
Space group I-42d (No. 122)
Asymmetric unit:
K1 0.000 0.000 0.000 (multiplicity 4)
Ta1 0.126 0.250 0.625 (multiplicity 8)
Cd1 0.000 0.000 0.500 (multiplicity 4)

Summary:
Total magnetic moment: 0.00 μB per formula unit
VASP energy: -5.013 eV per atom
Fermi-level density of states: 4.439 states/eV/f.u.
Energy of formation from the pure elements: 1417 meV/atom
ρ: 7.74 g cm⁻³